A plane-wave DFT calculation with GGA+U was carried out for crystalline MnN2O2 at its relaxed geometry.

The structure belongs to space group P4/mmm (No. 123); the cell edges are 3.671, 3.671 and 4.206 Å and the angles 90.00°, 90.00° and 90.00°. The inequivalent atoms are Mn at (0.000, 0.000, 0.000), N at (0.000, 0.000, 0.500), N at (0.500, 0.500, 0.500) and O at (0.000, 0.500, 0.000).

The total magnetization comes out at 2.999 μB per formula unit. The electronic total energy is -27.294 eV/cell.